(1)
Compound: Ba4Nb2TcO12
Source: the Open Quantum Materials Database
Functional: PBE
Structure: optimized geometry

Lattice parameters (Å, degrees): 9.949 9.949 9.949 33.85 33.85 33.85
Sites, in units of the cell vectors:
Ba1 0.000 0.000 0.000
Ba2 0.155 0.155 0.155
Ba3 0.422 0.422 0.422
Ba4 0.579 0.579 0.579
Nb1 0.289 0.289 0.289
Nb2 0.714 0.714 0.714
Tc1 0.868 0.868 0.868
O1 0.079 0.079 0.582
O2 0.079 0.582 0.079
O3 0.152 0.677 0.677
O4 0.412 0.910 0.910
O5 0.493 0.493 0.999
O6 0.493 0.999 0.493
O7 0.582 0.079 0.079
O8 0.677 0.152 0.677
O9 0.677 0.677 0.152
O10 0.910 0.412 0.910
O11 0.910 0.910 0.412
O12 0.999 0.493 0.493

Computed properties:
ρ (g/cm³): 6.25
DFT total energy (Ha/atom): -0.2827
V (A^3/atom): 14.33

(2)
Compound: AcHfTl
Source: the Open Quantum Materials Database
Functional: PBE
Structure: optimized geometry

Lattice parameters (Å, degrees): 5.371 5.371 5.371 60.00 60.00 60.00
Sites, in units of the cell vectors:
Ac1 0.000 0.000 0.000
Hf1 0.750 0.750 0.750
Tl1 0.250 0.250 0.250

Computed properties:
ρ (g/cm³): 9.24
DFT total energy (Ha/atom): -0.1646
V (A^3/atom): 36.52
Energy above the lowest structure with this stoichiometry (kJ/mol of atoms): 47.9

The highest DFT total energy belongs to which entry?
AcHfTl

Look up the ρ of the second one.
9.24 g/cm³